VASP calculation (PBE-GGA) on TlCo3Br after structural relaxation.

```
5
Lattice="4.432 0.000 0.000 0.000 4.432 0.000 0.000 0.000 4.432" Properties=species:S:1:pos:R:3 pbc="T T T"
Tl 0.000 0.000 0.000
Co 0.000 2.216 2.216
Co 2.216 0.000 2.216
Co 2.216 2.216 0.000
Br 2.216 2.216 2.216
```

Properties
E	-4.03	eV per atom
space group	Pm-3m
total magnetic moment	3.08	μB/f.u.
excess energy over the best structure of this formula in the dataset	0	meV per atom

***

VASP calculation (PBE-GGA) on Tl3Co5Br12 after structural relaxation.

```
80
Lattice="-8.355 8.355 8.355 8.355 -8.355 8.355 8.355 8.355 -8.355" Properties=species:S:1:pos:R:3 pbc="T T T"
Tl 4.178 2.089 0.000
Tl 8.355 4.178 -2.089
Tl 2.089 0.000 4.178
Tl 10.444 0.000 4.178
Tl 0.000 4.178 2.089
Tl 4.178 -2.089 8.355
Tl 4.178 10.444 0.000
Tl 8.355 4.178 6.266
Tl -2.089 8.355 4.178
Tl 6.266 8.355 4.178
Tl 0.000 4.178 10.444
Tl 4.178 6.266 8.355
Co 0.000 0.000 0.000
Co 4.178 4.178 -4.178
Co 4.178 -4.178 4.178
Co 8.355 0.000 0.000
Co 12.533 2.089 0.000
Co 8.355 -4.178 6.266
Co 6.266 8.355 -4.178
Co 6.266 0.000 4.178
Co 4.178 6.266 0.000
Co 8.355 4.178 2.089
Co -4.178 4.178 4.178
Co 0.000 8.355 0.000
Co 0.000 0.000 8.355
Co 4.178 4.178 4.178
Co 0.000 4.178 6.266
Co 4.178 2.089 8.355
Co 2.089 8.355 4.178
Co 2.089 0.000 12.533
Co 0.000 12.533 2.089
Co -4.178 6.266 8.355
Br 2.431 -0.615 0.822
Br 10.102 4.999 -4.792
Br 10.786 0.615 0.822
Br 10.102 -3.356 4.792
Br 7.741 -0.822 2.431
Br 13.147 -1.747 3.356
Br 0.822 2.431 -0.615
Br 11.711 3.563 -1.747
Br 4.999 4.792 -1.747
Br 7.533 2.431 0.615
Br -0.615 0.822 2.431
Br 4.792 -1.747 4.999
Br 7.741 7.533 -2.431
Br 4.792 1.747 3.356
Br 4.999 -4.792 10.102
Br 7.533 -2.431 7.741
Br 3.356 4.792 1.747
Br 9.177 5.924 0.615
Br 4.792 10.102 -3.356
Br 7.741 0.822 5.924
Br 2.431 7.741 -0.822
Br 10.102 3.356 3.563
Br 1.747 3.356 4.792
Br 2.431 0.615 7.533
Br 5.924 7.741 0.822
Br 6.609 4.999 3.563
Br -1.747 4.999 4.792
Br 5.924 0.615 9.177
Br 0.615 7.533 2.431
Br 3.563 -1.747 11.711
Br -0.822 2.431 7.741
Br 4.999 3.563 6.609
Br 0.822 10.786 0.615
Br 3.356 13.147 -1.747
Br 3.563 6.609 4.999
Br 0.615 0.822 10.786
Br 3.563 10.102 3.356
Br 8.970 7.533 5.924
Br 0.822 5.924 7.741
Br 3.356 3.563 10.102
Br -3.356 4.792 10.102
Br 7.533 5.924 8.970
Br -4.792 10.102 4.999
Br 0.615 9.177 5.924
Br -1.747 11.711 3.563
Br -2.431 7.741 7.533
Br -1.747 3.356 13.147
Br 5.924 8.970 7.533
```

Properties
E	-3.52	eV per atom
space group	Ia-3d
total magnetic moment	14.00	μB/f.u.

***

VASP calculation (PBE-GGA) on Tl4CoBr7 after structural relaxation.

```
12
Lattice="8.651 -2.485 0.000 8.651 2.485 0.000 -7.150 0.000 10.195" Properties=species:S:1:pos:R:3 pbc="T T T"
Tl -0.165 0.000 2.786
Tl -2.170 0.000 8.580
Tl 12.321 0.000 1.615
Tl 10.316 0.000 7.409
Co 5.076 0.000 5.098
Br -3.575 0.000 5.098
Br 2.146 0.000 0.336
Br -0.024 0.000 6.417
Br 5.733 0.000 2.881
Br 4.418 0.000 7.314
Br 10.175 0.000 3.779
Br 8.005 0.000 9.859
```

Properties
E	-2.90	eV per atom
space group	C2/m
total magnetic moment	2.41	μB/f.u.

***

VASP calculation (PBE-GGA) on Tl2CoBr5 after structural relaxation.

```
16
Lattice="7.626 0.000 0.000 0.000 7.626 0.000 0.000 0.000 9.260" Properties=species:S:1:pos:R:3 pbc="T T T"
Tl 0.000 3.813 0.000
Tl 0.000 3.813 4.630
Tl 3.813 0.000 0.000
Tl 3.813 0.000 4.630
Co 0.000 0.000 2.092
Co 3.813 3.813 6.722
Br 0.000 0.000 8.960
Br 1.672 1.672 2.487
Br 1.672 5.954 2.487
Br 2.141 2.141 7.117
Br 2.141 5.486 7.117
Br 3.813 3.813 4.330
Br 5.486 2.141 7.117
Br 5.486 5.486 7.117
Br 5.954 1.672 2.487
Br 5.954 5.954 2.487
```

Properties
E	-3.06	eV per atom
space group	I4mm
total magnetic moment	2.00	μB/f.u.

***

> What is the E in the second record?

-3.52 eV per atom

***

> What is the formula in the first record?

TlCo3Br

***

> total magnetic moment of number 3 (Tl4CoBr7)?

2.41 μB/f.u.

***

> The lowest E belongs to which entry?

TlCo3Br